ZnC: relaxed, PBE-GGA.

Calculated values
The calculation puts the total moment at 1.98 μB per cell. The density of states at the Fermi level comes out at 0.86 states/eV/f.u. The value obtained for the formation enthalpy at 0 K is 1892 meV/atom. As for the total energy: -3.357 eV/atom.

abc: 5.8253 5.8253 2.6185
angles: 90.00 90.00 120.00
With the nearest neighbours (Å) after each atom.
Space group P6/mmm (No. 191)
One atom of each set of equivalent atoms:
Zn 0.0000 0.5000 0.0000  4 C 2.13
C 0.0000 0.0000 0.0000  2 C 2.62, 6 Zn 2.91
C 0.3333 0.6667 0.5000  6 Zn 2.13

---

ZnC2: relaxed, PBE-GGA.

Calculated values
The calculation puts the total moment at 0.00 μB per cell. The density of states at the Fermi level comes out at 0.00 states/eV/f.u. The value obtained for the formation enthalpy at 0 K is 1132 meV/atom. As for the total energy: -5.441 eV/atom.

abc: 6.4531 6.4531 6.4531
angles: 90.00 90.00 90.00
With the nearest neighbours (Å) after each atom.
Space group Pn-3m (No. 224, origin choice 2)
One atom of each set of equivalent atoms:
Zn 0.0000 0.0000 0.0000  2 C 1.87
C 0.1672 0.1672 0.1672  3 C 1.51

---

ZnC2: relaxed, PBE-GGA.

Calculated values
The calculation puts the total moment at 0.00 μB per cell. The density of states at the Fermi level comes out at 1.78 states/eV/f.u. The value obtained for the formation enthalpy at 0 K is 2862 meV/atom. As for the total energy: -3.712 eV/atom.

abc: 6.1152 6.1152 6.1152
angles: 90.00 90.00 90.00
With the nearest neighbours (Å) after each atom.
Space group Fd-3m (No. 227, origin choice 2)
One atom of each set of equivalent atoms:
Zn 0.1250 0.1250 0.1250  12 C 2.54, 4 Zn 2.65
C 0.0000 0.0000 0.5000  6 C 2.16

---

Zn2C: relaxed, PBE-GGA.

Calculated values
The calculation puts the total moment at 0.00 μB per cell. The density of states at the Fermi level comes out at 1.11 states/eV/f.u. The value obtained for the formation enthalpy at 0 K is 976 meV/atom. As for the total energy: -2.948 eV/atom.

abc: 3.3914 3.3914 4.0039
angles: 90.00 90.00 120.00
With the nearest neighbours (Å) after each atom.
Space group P-3m1 (No. 164)
One atom of each set of equivalent atoms:
Zn 0.3333 0.6667 0.2234  3 C 2.15
C 0.0000 0.0000 0.0000  6 Zn 2.15

---

Zn2C: relaxed, PBE-GGA.

Calculated values
The calculation puts the total moment at 0.00 μB per cell. The density of states at the Fermi level comes out at 0.73 states/eV/f.u. The value obtained for the formation enthalpy at 0 K is 1036 meV/atom. As for the total energy: -2.888 eV/atom.

abc: 3.5328 3.5328 6.9537
angles: 90.00 90.00 120.00
With the nearest neighbours (Å) after each atom.
Space group P6_3/mmc (No. 194)
One atom of each set of equivalent atoms:
Zn 0.0000 0.0000 0.0000  6 C 2.68, 6 Zn 2.68
Zn 0.3333 0.6667 0.2500  3 C 2.04
C 0.3333 0.6667 0.7500  3 Zn 2.04

---

Zn2C: relaxed, PBE-GGA.

Calculated values
The calculation puts the total moment at 0.00 μB per cell. The density of states at the Fermi level comes out at 0.13 states/eV/f.u. The value obtained for the formation enthalpy at 0 K is 796 meV/atom. As for the total energy: -3.127 eV/atom.

abc: 3.6943 13.6954 3.7812
angles: 90.00 90.00 90.00
With the nearest neighbours (Å) after each atom.
Space group Cmcm (No. 63)
One atom of each set of equivalent atoms:
Zn 0.0000 0.0956 0.2500  2 C 1.95
Zn 0.0000 0.3166 0.2500  2 C 1.98
C 0.0000 0.3596 0.7500  4 Zn 1.95-1.98

---

Zn5C3: relaxed, PBE-GGA.

Calculated values
The calculation puts the total moment at 0.00 μB per cell. The density of states at the Fermi level comes out at 1.77 states/eV/f.u. The value obtained for the formation enthalpy at 0 K is 1223 meV/atom. As for the total energy: -3.032 eV/atom.

abc: 6.2164 9.0140 3.3832
angles: 90.00 90.00 90.00
With the nearest neighbours (Å) after each atom.
Space group Cmmm (No. 65)
One atom of each set of equivalent atoms:
Zn 0.0000 0.0000 0.0000  4 C 2.19
Zn 0.1962 0.5000 0.5000  2 C 2.09
Zn 0.2500 0.2500 0.0000  6 C 2.46-2.74, 2 Zn 2.74
C 0.0000 0.1535 0.5000  4 Zn 2.19-2.34
C 0.0000 0.5000 0.0000  4 Zn 2.09

---

ZnC2: relaxed, PBE-GGA.

Calculated values
The calculation puts the total moment at 0.00 μB per cell. The density of states at the Fermi level comes out at 1.27 states/eV/f.u. The value obtained for the formation enthalpy at 0 K is 1763 meV/atom. As for the total energy: -4.811 eV/atom.

abc: 5.1404 5.1404 4.9283
angles: 90.00 90.00 90.00
With the nearest neighbours (Å) after each atom.
Space group I4/mcm (No. 140)
One atom of each set of equivalent atoms:
Zn 0.0000 0.0000 0.2500  2 Zn 2.46, 8 C 2.48
C 0.0901 0.4099 0.0000  1 C 1.31

---

Repeat the seventh record exactly.
Zn5C3: relaxed, PBE-GGA.

Calculated values
The calculation puts the total moment at 0.00 μB per cell. The density of states at the Fermi level comes out at 1.77 states/eV/f.u. The value obtained for the formation enthalpy at 0 K is 1223 meV/atom. As for the total energy: -3.032 eV/atom.

abc: 6.2164 9.0140 3.3832
angles: 90.00 90.00 90.00
With the nearest neighbours (Å) after each atom.
Space group Cmmm (No. 65)
One atom of each set of equivalent atoms:
Zn 0.0000 0.0000 0.0000  4 C 2.19
Zn 0.1962 0.5000 0.5000  2 C 2.09
Zn 0.2500 0.2500 0.0000  6 C 2.46-2.74, 2 Zn 2.74
C 0.0000 0.1535 0.5000  4 Zn 2.19-2.34
C 0.0000 0.5000 0.0000  4 Zn 2.09